Entry 1:
Below is a geometry-optimized CsZrCd3 structure, with properties calculated at the GGA-PBE level.

## Properties
The calculation puts the calculated total energy at -1.005 eV/atom. Its space group is Pm-3m. For the theoretical density, the calculation gives 3.5 g/cm³. The formation energy from the elements is 1.425 eV per atom. The calculation puts the energy relative to the lowest polymorph listed for this composition at 96.16 kJ per mole of atoms. The crystal system is cubic.

Cell lengths 6.420, 6.420, 6.420 Å; angles 90.00, 90.00, 90.00 degrees
Element x y z (fractional)
Cs: 0.000 0.000 0.000
Zr: 0.500 0.500 0.500
Cd: 0.000 0.000 0.500
Cd: 0.000 0.500 0.000
Cd: 0.500 0.000 0.000

Entry 2:
Below is a geometry-optimized AcTb2Ho4 structure, with properties calculated at the GGA-PBE level.

## Properties
The calculation puts the calculated total energy at -4.381 eV/atom. Its space group is P1. For the theoretical density, the calculation gives 8.4 g/cm³. The formation energy from the elements is 0.144 eV per atom. The calculation puts the energy relative to the lowest polymorph listed for this composition at 8.89 kJ per mole of atoms. The crystal system is triclinic.

Cell lengths 6.592, 8.902, 9.329 Å; angles 72.44, 71.68, 69.25 degrees
Element x y z (fractional)
Ac: 0.000 0.000 0.000
Ac: 0.356 0.085 0.214
Tb: 0.332 0.545 0.122
Tb: 0.350 0.259 0.763
Tb: 0.455 0.914 0.626
Tb: 0.721 0.482 0.769
Ho: 0.074 0.373 0.457
Ho: 0.148 0.654 0.764
Ho: 0.545 0.627 0.395
Ho: 0.626 0.809 0.959
Ho: 0.647 0.228 0.377
Ho: 0.898 0.045 0.643
Ho: 0.921 0.420 0.088
Ho: 0.969 0.786 0.409

Entry 3:
Below is a geometry-optimized Fe4CoRe structure, with properties calculated at the GGA-PBE level.

## Properties
The calculation puts the calculated total energy at -8.792 eV/atom. Its space group is F-43m. For the theoretical density, the calculation gives 11.2 g/cm³. The formation energy from the elements is 0.108 eV per atom. The crystal system is cubic.

Cell lengths 4.611, 4.611, 4.611 Å; angles 60.00, 60.00, 60.00 degrees
Element x y z (fractional)
Fe: 0.376 0.376 0.376
Fe: 0.376 0.376 0.873
Fe: 0.376 0.873 0.376
Fe: 0.873 0.376 0.376
Co: 0.750 0.750 0.750
Re: 0.000 0.000 0.000

Entry 4:
Below is a geometry-optimized NdGdPuTl structure, with properties calculated at the GGA-PBE level.

## Properties
The calculation puts the calculated total energy at -8.874 eV/atom. Its space group is F-43m. For the theoretical density, the calculation gives 10.6 g/cm³. The formation energy from the elements is 0.012 eV per atom. The crystal system is cubic.

Cell lengths 7.784, 7.784, 7.784 Å; angles 90.00, 90.00, 90.00 degrees
Element x y z (fractional)
Nd: 0.000 0.000 0.000
Nd: 0.000 0.500 0.500
Nd: 0.500 0.000 0.500
Nd: 0.500 0.500 0.000
Gd: 0.000 0.000 0.500
Gd: 0.000 0.500 0.000
Gd: 0.500 0.000 0.000
Gd: 0.500 0.500 0.500
Pu: 0.250 0.250 0.750
Pu: 0.250 0.750 0.250
Pu: 0.750 0.250 0.250
Pu: 0.750 0.750 0.750
Tl: 0.250 0.250 0.250
Tl: 0.250 0.750 0.750
Tl: 0.750 0.250 0.750
Tl: 0.750 0.750 0.250